Material: LiPm6Ge4
Method: DFT, PBE
State: relaxed

For the formation enthalpy at 0 K, the calculation gives -41 kJ per mole of atoms. The value obtained for the mass density is 6.23 g/cm³. Its total energy is -4.872 eV/atom.

It has space group P-6m2 (No. 187), with a = 9.2930 Å, b = 9.2930 Å, c = 4.1613 Å, α = 90.00°, β = 90.00° and γ = 120.00°. Symmetry generates all atoms from Li at (0.0000, 0.0000, 0.0000), Pm at (0.1910, 0.3820, 0.5000), Pm at (0.5384, 0.0769, 0.0000), Ge at (0.3333, 0.6667, 0.0000) and Ge at (0.3498, 0.1749, 0.5000).